! PBE with a Hubbard U SrLiVPO6, relaxed; values from VASP
! ρ: 3.7 Mg/m³
! Density of states at the Fermi level: 0.00 states/eV/cell
! Symmetry: P2_1/c, No. 14
! Magnetic moment: 1.0 μB per formula unit
! Calculated total energy: -7.040 eV per atom
! Volume: 12.3 A^3/atom
&SYSTEM
  ibrav = 0, nat = 40, ntyp = 5
/
ATOMIC_SPECIES
O 16.00 O.upf
Sr 87.62 Sr.upf
P 30.97 P.upf
Li 6.94 Li.upf
V 50.94 V.upf
CELL_PARAMETERS angstrom
10.924 0.000 0.000
0.000 5.391 0.011
0.000 0.051 8.342
ATOMIC_POSITIONS crystal
O 0.380 0.608 0.296
O 0.897 0.410 0.581
O 0.353 0.719 0.633
O 0.422 0.174 0.518
O 0.853 0.281 0.867
O 0.120 0.608 0.796
O 0.880 0.392 0.204
O 0.578 0.826 0.482
O 0.486 0.045 0.197
O 0.713 0.996 0.139
O 0.922 0.826 0.982
O 0.147 0.719 0.133
O 0.103 0.590 0.419
O 0.397 0.590 0.919
O 0.287 0.004 0.861
O 0.620 0.392 0.704
O 0.647 0.281 0.367
O 0.514 0.955 0.803
O 0.078 0.174 0.018
O 0.014 0.045 0.697
O 0.787 0.996 0.639
O 0.213 0.004 0.361
O 0.603 0.410 0.081
O 0.986 0.955 0.303
Sr 0.228 0.313 0.619
Sr 0.272 0.313 0.119
Sr 0.728 0.687 0.881
Sr 0.772 0.687 0.381
P 0.613 0.184 0.197
P 0.387 0.816 0.803
P 0.887 0.184 0.697
P 0.113 0.816 0.303
Li 0.015 0.691 0.619
Li 0.485 0.691 0.119
Li 0.985 0.309 0.381
Li 0.515 0.309 0.881
V 0.088 0.858 0.917
V 0.912 0.142 0.083
V 0.588 0.142 0.583
V 0.412 0.858 0.417